[1]
NaSbAs2Se | PBE-GGA | optimized geometry

Lattice parameters (Å, degrees): 5.3525 5.3525 5.5244 90.00 90.00 90.00
Atoms (fractional coordinates):
Se  0.0000  0.0000  0.5000
Sb  0.0000  0.0000  0.0000
Na  0.5000  0.5000  0.5000
As  0.0000  0.5000  0.0000
As  0.5000  0.0000  0.0000

Output
Calculated total energy = -16.34 eV/cell
Magnetic moment = 1.2 μB/f.u.
Energy relative to the elements, uncorrected = 1.880 eV/f.u.
Energy above the lowest structure with this stoichiometry = 0 meV per atom
Crystal system = tetragonal

***

[2]
ScAs2SBr | PBE-GGA | optimized geometry

Lattice parameters (Å, degrees): 5.2560 5.2560 4.9571 90.00 90.00 90.00
Atoms (fractional coordinates):
S  0.5000  0.5000  0.5000
Sc  0.0000  0.0000  0.0000
Br  0.0000  0.0000  0.5000
As  0.5000  0.0000  0.0000
As  0.0000  0.5000  0.0000

Output
Calculated total energy = -20.11 eV/cell
Magnetic moment = 0.0 μB/f.u.
Energy relative to the elements, uncorrected = 1.319 eV/f.u.
Energy above the lowest structure with this stoichiometry = 13 meV per atom
Crystal system = tetragonal

***

[3]
CsHg3Au | PBE-GGA | optimized geometry

Lattice parameters (Å, degrees): 6.5830 6.5830 10.4703 71.68 71.68 90.00
Atoms (fractional coordinates):
Cs  0.5815  0.0815  0.8371
Cs  0.9185  0.4185  0.1629
Hg  0.1245  0.8658  0.7511
Hg  0.6960  0.6960  0.6080
Hg  0.1245  0.3831  0.7511
Hg  0.6169  0.8755  0.2489
Hg  0.3040  0.3040  0.3920
Hg  0.1342  0.8755  0.2489
Au  0.2500  0.7500  0.5000
Au  0.0000  0.0000  0.0000

Output
Calculated total energy = -11.45 eV/cell
Magnetic moment = 0.0 μB/f.u.
DFT formation energy = -0.1373 eV/atom
Energy above the lowest structure with this stoichiometry = 87 meV per atom
Crystal system = tetragonal

***

[4]
Er6Ge2SbAs3 | PBE-GGA | optimized geometry

Lattice parameters (Å, degrees): 4.0590 8.4350 9.3488 105.64 102.54 90.00
Atoms (fractional coordinates):
Er  0.9998  0.2646  0.9997
Er  0.6652  0.5899  0.3305
Er  0.3348  0.4101  0.6695
Er  0.6728  0.0834  0.3455
Er  0.0002  0.7354  0.0003
Er  0.3272  0.9166  0.6545
As  0.8355  0.1658  0.6710
As  0.1645  0.8342  0.3290
As  0.5000  0.5000  0.0000
Sb  0.5000  0.0000  0.0000
Ge  0.8320  0.6634  0.6639
Ge  0.1680  0.3366  0.3361

Output
Calculated total energy = -68.35 eV/cell
Magnetic moment = 0.0 μB/f.u.
Energy relative to the elements, uncorrected = -13.670 eV/f.u.
Crystal system = monoclinic

***

[5]
CsGeSb | PBE-GGA | optimized geometry

Lattice parameters (Å, degrees): 4.2007 7.5613 7.6603 90.00 105.91 90.00
Atoms (fractional coordinates):
Ge  0.3352  0.3896  0.6705
Ge  0.6648  0.8896  0.3295
Cs  0.0721  0.5401  0.1442
Cs  0.9279  0.0401  0.8558
Sb  0.1966  0.1113  0.3933
Sb  0.8034  0.6113  0.6067

Output
Calculated total energy = -20.36 eV/cell
Magnetic moment = 0.0 μB/f.u.
Energy relative to the elements, uncorrected = -0.586 eV/f.u.
Crystal system = orthorhombic

***

[6]
Tl2Hg6Pb | PBE-GGA | optimized geometry

Lattice parameters (Å, degrees): 3.5203 9.0948 9.0949 60.06 90.01 90.01
Atoms (fractional coordinates):
Hg  0.5015  0.0002  0.3330
Hg  0.5000  0.6665  0.3335
Hg  0.4985  0.9998  0.6670
Hg  0.5015  0.3330  0.0002
Hg  0.4985  0.6670  0.9998
Hg  0.5000  0.3335  0.6665
Pb  0.0000  0.0000  0.0000
Tl  0.9999  0.6667  0.6667
Tl  0.0001  0.3333  0.3333

Output
Calculated total energy = -10.04 eV/cell
Magnetic moment = 0.0 μB/f.u.
DFT formation energy = 0.0235 eV/atom
Energy above the lowest structure with this stoichiometry = 0 meV per atom
Crystal system = monoclinic

***

[7]
PmDy2Tm5Sc | PBE-GGA | optimized geometry

Lattice parameters (Å, degrees): 5.5103 10.1464 10.3047 90.00 90.00 105.76
Atoms (fractional coordinates):
Dy  0.1113  0.2225  0.3150
Dy  0.8887  0.7775  0.8150
Dy  0.8863  0.7726  0.2344
Dy  0.1137  0.2274  0.7344
Tm  0.2983  0.5967  0.7060
Tm  0.4806  0.9611  0.7381
Tm  0.0186  0.0372  0.0208
Tm  0.5194  0.0389  0.2381
Tm  0.3779  0.7558  0.0203
Tm  0.9814  0.9628  0.5208
Tm  0.7017  0.4033  0.2060
Tm  0.2772  0.5544  0.3214
Tm  0.6221  0.2442  0.5203
Tm  0.7228  0.4456  0.8214
Sc  0.8030  0.6059  0.5140
Sc  0.1970  0.3941  0.0140
Pm  0.4135  0.8270  0.4540
Pm  0.5865  0.1730  0.9540

Output
Calculated total energy = -82.19 eV/cell
Magnetic moment = 0.0 μB/f.u.
DFT formation energy = 0.1721 eV/atom
Crystal system = orthorhombic

***

[8]
Zr2Br | PBE-GGA | optimized geometry

Lattice parameters (Å, degrees): 5.4912 5.4912 5.4912 107.98 107.98 112.50
Atoms (fractional coordinates):
Zr  0.6571  0.1571  0.8142
Zr  0.1571  0.3429  0.5000
Zr  0.8429  0.6571  0.5000
Zr  0.3429  0.8429  0.1858
Br  0.7500  0.7500  0.0000
Br  0.2500  0.2500  0.0000

Output
Calculated total energy = -38.55 eV/cell
Magnetic moment = 0.0 μB/f.u.
Energy relative to the elements, uncorrected = -0.507 eV/f.u.
Energy above the lowest structure with this stoichiometry = 170 meV per atom
Crystal system = tetragonal

***

[9]
SmDyMg17 | PBE-GGA | optimized geometry

Lattice parameters (Å, degrees): 7.7888 7.7888 7.7888 82.12 82.12 82.12
Atoms (fractional coordinates):
Mg  0.9984  0.9984  0.5013
Mg  0.9984  0.5013  0.9984
Mg  0.1002  0.1002  0.1002
Mg  0.3022  0.0011  0.6967
Mg  0.6967  0.0011  0.3022
Mg  0.3022  0.6967  0.0011
Mg  0.6459  0.1616  0.6459
Mg  0.0011  0.3022  0.6967
Mg  0.6459  0.6459  0.1616
Mg  0.1616  0.6459  0.6459
Mg  0.3529  0.3529  0.8418
Mg  0.5013  0.9984  0.9984
Mg  0.8418  0.3529  0.3529
Mg  0.6967  0.3022  0.0011
Mg  0.9015  0.9015  0.9015
Mg  0.0011  0.6967  0.3022
Mg  0.3529  0.8418  0.3529
Dy  0.3285  0.3285  0.3285
Sm  0.6707  0.6707  0.6707

Output
Calculated total energy = -36.94 eV/cell
Magnetic moment = 0.0 μB/f.u.
DFT formation energy = -0.0271 eV/atom
Crystal system = trigonal

***

[10]
Mn2VPd9 | PBE-GGA | optimized geometry

Lattice parameters (Å, degrees): 3.9107 3.9107 11.7336 90.00 90.00 90.00
Atoms (fractional coordinates):
Pd  0.0000  0.5000  0.8393
Pd  0.5000  0.5000  0.3302
Pd  0.0000  0.5000  0.1607
Pd  0.5000  0.5000  0.6698
Pd  0.5000  0.0000  0.5000
Pd  0.0000  0.5000  0.5000
Pd  0.5000  0.0000  0.8393
Pd  0.5000  0.5000  0.0000
Pd  0.5000  0.0000  0.1607
Mn  0.0000  0.0000  0.3359
Mn  0.0000  0.0000  0.6641
V  0.0000  0.0000  0.0000

Output
Calculated total energy = -77.13 eV/cell
Magnetic moment = 8.4 μB/f.u.
DFT formation energy = -0.2443 eV/atom
Crystal system = tetragonal

***

[11]
TcTeMoI2 | PBE-GGA | optimized geometry

Lattice parameters (Å, degrees): 5.6334 5.6334 5.0391 90.00 90.00 90.00
Atoms (fractional coordinates):
Tc  0.0000  0.0000  0.0000
I  0.5000  0.0000  0.0000
I  0.0000  0.5000  0.0000
Mo  0.5000  0.5000  0.5000
Te  0.0000  0.0000  0.5000

Output
Calculated total energy = -21.54 eV/cell
Magnetic moment = 5.4 μB/f.u.
Energy relative to the elements, uncorrected = 5.901 eV/f.u.
Energy above the lowest structure with this stoichiometry = 0 meV per atom
Crystal system = tetragonal

***

[12]
La2NdCd | PBE-GGA | optimized geometry

Lattice parameters (Å, degrees): 3.8119 3.8119 9.2004 90.00 90.00 90.00
Atoms (fractional coordinates):
La  0.0000  0.0000  0.7748
La  0.0000  0.0000  0.2252
Cd  0.5000  0.5000  0.0000
Nd  0.5000  0.5000  0.5000

Output
Calculated total energy = -16.15 eV/cell
Magnetic moment = 0.0 μB/f.u.
DFT formation energy = -0.1541 eV/atom
Energy above the lowest structure with this stoichiometry = 0 meV per atom
Crystal system = tetragonal

***

> Which formula does entry 3 have?

CsHg3Au